Record 1
A relaxed structure of GaSiOsRh. Source: Alexandria, functional PBE-GGA.

a b c (Å): 6.002 6.002 6.002
angles (deg): 90.00 90.00 90.00
Fractional coordinates of all 16 atoms:
Ga: 0.000 0.000 0.000
Ga: 0.000 0.500 0.500
Ga: 0.500 0.000 0.500
Ga: 0.500 0.500 0.000
Si: 0.000 0.000 0.500
Si: 0.000 0.500 0.000
Si: 0.500 0.000 0.000
Si: 0.500 0.500 0.500
Os: 0.250 0.250 0.750
Os: 0.250 0.750 0.250
Os: 0.750 0.250 0.250
Os: 0.750 0.750 0.750
Rh: 0.250 0.250 0.250
Rh: 0.250 0.750 0.750
Rh: 0.750 0.250 0.750
Rh: 0.750 0.750 0.250

Properties
- Density of states at the Fermi level: 0.377 states/eV/atom
- Uncorrected formation energy: -0.393 eV/atom
- Space group: F-43m (216)

---

Record 2
A relaxed structure of ScTePd3. Source: Alexandria, functional PBE-GGA.

a b c (Å): 4.479 5.732 7.469
angles (deg): 90.00 90.23 90.00
Fractional coordinates of all 10 atoms:
Sc: 0.250 0.250 0.063
Sc: 0.750 0.750 0.937
Te: 0.250 0.250 0.444
Te: 0.750 0.750 0.556
Pd: 0.249 0.511 0.751
Pd: 0.249 0.989 0.751
Pd: 0.251 0.750 0.126
Pd: 0.749 0.250 0.874
Pd: 0.751 0.011 0.249
Pd: 0.751 0.489 0.249

Properties
- Density of states at the Fermi level: 0.383 states/eV/atom
- Uncorrected formation energy: -0.604 eV/atom
- Space group: P2_1/m (11)
- Energy above the most stable polymorph in this dataset: 0.0 meV per atom

---

Which value of uncorrected formation energy does entry 2 give?
-0.604 eV/atom

---

What is the uncorrected formation energy in the first record?
-0.393 eV/atom

---

Repeat the first record exactly.
A relaxed structure of GaSiOsRh. Source: Alexandria, functional PBE-GGA.

a b c (Å): 6.002 6.002 6.002
angles (deg): 90.00 90.00 90.00
Fractional coordinates of all 16 atoms:
Ga: 0.000 0.000 0.000
Ga: 0.000 0.500 0.500
Ga: 0.500 0.000 0.500
Ga: 0.500 0.500 0.000
Si: 0.000 0.000 0.500
Si: 0.000 0.500 0.000
Si: 0.500 0.000 0.000
Si: 0.500 0.500 0.500
Os: 0.250 0.250 0.750
Os: 0.250 0.750 0.250
Os: 0.750 0.250 0.250
Os: 0.750 0.750 0.750
Rh: 0.250 0.250 0.250
Rh: 0.250 0.750 0.750
Rh: 0.750 0.250 0.750
Rh: 0.750 0.750 0.250

Properties
- Density of states at the Fermi level: 0.377 states/eV/atom
- Uncorrected formation energy: -0.393 eV/atom
- Space group: F-43m (216)

---

Please write out number 2 again, unchanged.
A relaxed structure of ScTePd3. Source: Alexandria, functional PBE-GGA.

a b c (Å): 4.479 5.732 7.469
angles (deg): 90.00 90.23 90.00
Fractional coordinates of all 10 atoms:
Sc: 0.250 0.250 0.063
Sc: 0.750 0.750 0.937
Te: 0.250 0.250 0.444
Te: 0.750 0.750 0.556
Pd: 0.249 0.511 0.751
Pd: 0.249 0.989 0.751
Pd: 0.251 0.750 0.126
Pd: 0.749 0.250 0.874
Pd: 0.751 0.011 0.249
Pd: 0.751 0.489 0.249

Properties
- Density of states at the Fermi level: 0.383 states/eV/atom
- Uncorrected formation energy: -0.604 eV/atom
- Space group: P2_1/m (11)
- Energy above the most stable polymorph in this dataset: 0.0 meV per atom